DFT (PBE-GGA) results for a relaxed structure of EuHoTl2.

```
EuHoTl2
1.0
1.893 1.093 9.989
-1.893 1.093 9.989
0.000 -2.186 9.989
Eu Ho Tl
1 1 2
direct
0.000 0.000 0.000
0.500 0.500 0.500
0.247 0.247 0.247
0.753 0.753 0.753
```

Calculated values
**D(E_F)**: 8.36 states/eV/cell
**Formation energy from the elements**: -0.254 eV/atom


DFT (PBE-GGA) results for a relaxed structure of Ti2CO.

```
Ti2CO
1.0
-2.321 2.321 4.681
2.321 -2.321 4.681
2.321 2.321 -4.681
Ti C O
4 2 2
direct
0.124 0.625 0.999
0.375 0.374 0.499
0.626 0.125 0.001
0.875 0.876 0.501
0.000 0.000 0.000
0.750 0.250 0.500
0.250 0.750 0.500
0.500 0.500 0.000
```

Calculated values
**E_form (uncorrected)**: -1.374 eV per atom
**D(E_F)**: 4.02 states/eV/cell


DFT (PBE-GGA) results for a relaxed structure of Cd3In4Hg4.

```
Cd3In4Hg4
1.0
3.238 0.000 0.000
0.178 8.876 0.000
1.247 4.205 9.981
Cd In Hg
3 4 4
direct
0.000 0.000 0.000
0.098 0.596 0.805
0.902 0.404 0.195
0.336 0.035 0.302
0.338 0.663 0.303
0.662 0.337 0.697
0.664 0.965 0.698
0.272 0.268 0.465
0.485 0.290 0.000
0.515 0.710 0.000
0.728 0.732 0.535
```

Calculated values
**D(E_F)**: 3.97 states/eV/cell
**Formation energy from the elements**: 0.048 eV/atom


DFT (PBE-GGA) results for a relaxed structure of AcDy12In6.

```
AcDy12In6
1.0
6.948 4.011 3.783
-6.948 4.011 3.783
0.000 -8.023 3.783
Ac Dy In
1 12 6
direct
0.000 0.000 0.000
0.124 0.500 0.876
0.124 0.876 0.500
0.181 0.450 0.450
0.450 0.181 0.450
0.450 0.450 0.181
0.500 0.124 0.876
0.500 0.876 0.124
0.550 0.550 0.819
0.550 0.819 0.550
0.819 0.550 0.550
0.876 0.124 0.500
0.876 0.500 0.124
0.240 0.240 0.698
0.240 0.698 0.240
0.302 0.760 0.760
0.698 0.240 0.240
0.760 0.302 0.760
0.760 0.760 0.302
```

Calculated values
**D(E_F)**: 27.83 states/eV/cell
**Formation energy from the elements**: -0.094 eV/atom


DFT (PBE-GGA) results for a relaxed structure of RbMnSnI5.

```
RbMnSnI5
1.0
5.264 -6.896 0.000
5.264 6.896 0.000
-4.763 0.000 10.485
Rb Mn Sn I
2 2 2 10
direct
0.150 0.850 0.750
0.850 0.150 0.250
0.185 0.815 0.250
0.815 0.185 0.750
0.500 0.500 0.000
0.500 0.500 0.500
0.112 0.252 0.936
0.170 0.591 0.377
0.252 0.112 0.436
0.409 0.830 0.123
0.414 0.586 0.750
0.586 0.414 0.250
0.591 0.170 0.877
0.748 0.888 0.564
0.830 0.409 0.623
0.888 0.748 0.064
```

Calculated values
**E_form (uncorrected)**: -0.722 eV per atom


DFT (PBE-GGA) results for a relaxed structure of Zr2GaHIr6.

```
Zr2GaHIr6
1.0
4.530 -2.800 0.000
4.530 2.800 0.000
-2.985 0.000 6.118
Zr Ga H Ir
2 1 1 6
direct
0.243 0.243 0.323
0.757 0.757 0.677
0.000 0.000 0.500
0.500 0.500 0.000
0.166 0.679 0.144
0.295 0.295 0.756
0.321 0.834 0.856
0.679 0.166 0.144
0.705 0.705 0.244
0.834 0.321 0.856
```

Calculated values
**Final energy**: -8.022 eV per atom
**D(E_F)**: 7.64 states/eV/cell


DFT (PBE-GGA) results for a relaxed structure of Ti4TcIr.

```
Ti4TcIr
1.0
3.114 0.000 0.000
0.000 3.114 0.000
0.000 0.000 9.611
Ti Tc Ir
4 1 1
direct
0.000 0.000 0.155
0.000 0.000 0.845
0.500 0.500 0.339
0.500 0.500 0.661
0.500 0.500 0.000
0.000 0.000 0.500
```

Calculated values
**D(E_F)**: 6.97 states/eV/cell
**Formation energy from the elements**: -0.520 eV/atom


DFT (PBE-GGA) results for a relaxed structure of Tb10Tm4Sc.

```
Tb10Tm4Sc
1.0
-5.650 5.650 3.765
5.650 -5.650 3.765
5.650 5.650 -3.765
Tb Tm Sc
10 4 1
direct
0.009 0.219 0.790
0.219 0.009 0.790
0.219 0.429 0.210
0.250 0.750 0.500
0.429 0.219 0.210
0.571 0.781 0.790
0.750 0.250 0.500
0.781 0.571 0.790
0.781 0.991 0.210
0.991 0.781 0.210
0.265 0.265 0.530
0.265 0.735 0.000
0.735 0.265 0.000
0.735 0.735 0.470
0.500 0.500 0.000
```

Calculated values
**D(E_F)**: 16.49 states/eV/cell
**Formation energy from the elements**: 0.226 eV/atom


DFT (PBE-GGA) results for a relaxed structure of Ho2MgS4.

```
Ho2MgS4
1.0
13.436 0.000 0.000
0.000 7.867 0.000
0.000 0.000 6.522
Ho Mg S
8 4 16
direct
0.000 0.000 0.000
0.000 0.500 0.000
0.232 0.250 0.493
0.268 0.750 0.993
0.500 0.000 0.500
0.500 0.500 0.500
0.732 0.250 0.007
0.768 0.750 0.507
0.096 0.750 0.420
0.404 0.250 0.920
0.596 0.750 0.080
0.904 0.250 0.580
0.070 0.250 0.746
0.090 0.750 0.788
0.171 0.509 0.235
0.171 0.991 0.235
0.329 0.009 0.735
0.329 0.491 0.735
0.410 0.250 0.288
0.430 0.750 0.246
0.570 0.250 0.754
0.590 0.750 0.712
0.671 0.509 0.265
0.671 0.991 0.265
0.829 0.009 0.765
0.829 0.491 0.765
0.910 0.250 0.212
0.930 0.750 0.254
```

Calculated values
**E_form (uncorrected)**: -1.876 eV per atom
**D(E_F)**: 0.00 states/eV/cell


DFT (PBE-GGA) results for a relaxed structure of Ni2RuSe.

```
Ni2RuSe
1.0
-1.459 2.125 4.215
1.459 -2.125 4.215
1.459 2.125 -4.215
Ni Ru Se
2 1 1
direct
0.226 0.226 0.000
0.774 0.774 0.000
0.500 0.000 0.500
0.000 0.500 0.500
```

Calculated values
**E_form (uncorrected)**: 0.233 eV per atom
**D(E_F)**: 5.81 states/eV/cell


DFT (PBE-GGA) results for a relaxed structure of Sr3CuO.

```
Sr3CuO
1.0
5.147 0.000 0.000
0.000 5.147 0.000
0.000 0.000 5.147
Sr Cu O
3 1 1
direct
0.000 0.000 0.500
0.000 0.500 0.000
0.500 0.000 0.000
0.500 0.500 0.500
0.000 0.000 0.000
```

Calculated values
**E_form (uncorrected)**: -0.984 eV per atom
**D(E_F)**: 2.50 states/eV/cell


DFT (PBE-GGA) results for a relaxed structure of AcSm6Dy3Er2.

```
AcSm6Dy3Er2
1.0
3.132 -5.424 0.000
3.132 5.424 0.000
-2.090 0.000 11.803
Ac Sm Dy Er
1 6 3 2
direct
0.000 0.000 0.000
0.085 0.422 0.254
0.251 0.251 0.746
0.422 0.085 0.254
0.578 0.915 0.746
0.749 0.749 0.254
0.915 0.578 0.746
0.167 0.833 0.500
0.500 0.500 0.500
0.833 0.167 0.500
0.333 0.667 0.000
0.667 0.333 0.000
```

Calculated values
**D(E_F)**: 15.50 states/eV/cell
**Formation energy from the elements**: 0.029 eV/atom